A plane-wave DFT calculation with PBE was carried out for a relaxed Nd2SmErTl4 crystal.

```
Nd2SmErTl4
1.0
5.459 0.000 0.000
2.730 4.728 0.000
2.730 1.576 8.940
Nd Er Tl Sm
2 1 4 1
Direct
0.249 0.249 0.252
0.751 0.751 0.748
0.500 0.500 0.500
0.126 0.126 0.622
0.874 0.874 0.378
0.624 0.624 0.128
0.376 0.376 0.872
0.000 0.000 0.000
```

Summary:
ΔH_f (0 K)	-0.3639	eV per atom
space-group type	R-3m, No. 166

A plane-wave DFT calculation with PBE was carried out for a relaxed Cu2Ir3 crystal.

```
Cu2Ir3
1.0
10.915 -0.003 -0.002
-0.335 2.688 0.000
-0.335 1.323 2.340
Ir Cu
3 2
Direct
0.000 0.000 0.000
0.398 0.799 0.799
0.602 0.201 0.201
0.802 0.601 0.601
0.198 0.399 0.399
```

Summary:
offset from the most stable computed form	0	meV/atom
ΔH_f (0 K)	0.0801	eV per atom
space-group type	R-3m, No. 166

A plane-wave DFT calculation with PBE was carried out for a relaxed Ba4SrNb3O12 crystal.

```
Ba4SrNb3O12
1.0
7.397 0.000 0.000
-2.466 6.974 0.000
-2.466 -3.487 6.040
Nb O Ba Sr
3 12 4 1
Direct
0.000 0.500 0.500
0.500 0.000 0.500
0.500 0.500 0.000
0.273 0.000 0.273
0.250 0.500 0.750
0.250 0.750 0.500
0.750 0.250 0.500
0.273 0.273 0.000
0.750 0.500 0.250
0.000 0.273 0.273
0.500 0.750 0.250
0.727 0.000 0.727
0.000 0.727 0.727
0.500 0.250 0.750
0.727 0.727 0.000
0.000 0.500 0.000
0.500 0.000 0.000
0.000 0.000 0.500
0.500 0.500 0.500
0.000 0.000 0.000
```

Summary:
space-group type	Im-3m, No. 229

A plane-wave DFT calculation with PBE was carried out for a relaxed Tc2MoP crystal.

```
Tc2MoP
1.0
-2.017 -1.138 -1.711
1.085 -3.690 1.175
-3.269 0.219 3.709
Tc Mo P
2 1 1
Direct
0.500 0.500 0.253
0.000 0.000 0.986
0.000 0.000 0.505
0.500 0.500 0.756
```

Summary:
ΔH_f (0 K)	-0.0507	eV per atom
space-group type	Pmm2, No. 25

A plane-wave DFT calculation with PBE was carried out for a relaxed KNaGa2Te4 crystal.

```
KNaGa2Te4
1.0
-3.612 -5.702 -3.263
3.441 -4.122 -5.217
0.465 -6.885 2.904
Na Te Ga K
1 4 2 1
Direct
0.500 0.500 0.500
0.961 0.481 0.116
0.442 0.116 0.481
0.558 0.519 0.884
0.039 0.884 0.519
0.180 0.320 0.320
0.820 0.680 0.680
0.000 0.000 0.000
```

Summary:
space-group type	I222, No. 23

A plane-wave DFT calculation with PBE was carried out for a relaxed LiAcGa crystal.

```
LiAcGa
1.0
3.813 0.000 0.000
0.000 4.913 0.000
0.000 -2.456 4.254
Ga Ac Li
1 1 1
Direct
0.166 0.000 0.000
0.667 0.333 0.667
0.167 0.667 0.333
```

Summary:
offset from the most stable computed form	27	meV/atom
ΔH_f (0 K)	-0.2961	eV per atom
space-group type	P-6m2, No. 187

A plane-wave DFT calculation with PBE was carried out for a relaxed TbPm2H6 crystal.

```
TbPm2H6
1.0
-2.616 -1.805 -2.041
2.699 -1.330 -2.284
0.751 -4.898 6.863
H Pm Tb
6 2 1
Direct
0.579 0.079 0.158
0.250 0.750 0.500
0.750 0.250 0.500
0.421 0.921 0.842
0.079 0.579 0.158
0.921 0.421 0.842
0.665 0.665 0.330
0.335 0.335 0.670
0.000 0.000 0.000
```

Summary:
space-group type	I4/mmm, No. 139

A plane-wave DFT calculation with PBE was carried out for a relaxed CaSBr2 crystal.

```
CaSBr2
1.0
-0.681 1.171 5.089
0.763 4.928 1.692
-4.107 2.934 1.500
S Br Ca
1 2 1
Direct
0.000 0.000 0.000
0.750 0.750 0.750
0.250 0.250 0.250
0.500 0.500 0.500
```

Summary:
offset from the most stable computed form	98	meV/atom
space-group type	Fm-3m, No. 225

A plane-wave DFT calculation with PBE was carried out for a relaxed LiNpPtO6 crystal.

```
LiNpPtO6
1.0
-1.202 -5.092 0.341
3.999 1.942 2.780
-5.958 1.892 7.247
Li O Pt Np
2 12 2 2
Direct
0.000 0.000 0.500
0.000 0.000 0.000
0.654 0.999 0.366
0.999 0.345 0.634
0.001 0.346 0.134
0.655 0.001 0.866
0.654 0.655 0.134
0.345 0.999 0.134
0.001 0.655 0.366
0.346 0.345 0.866
0.999 0.654 0.866
0.655 0.654 0.634
0.346 0.001 0.634
0.345 0.346 0.366
0.333 0.667 0.250
0.667 0.333 0.750
0.667 0.333 0.250
0.333 0.667 0.750
```

Summary:
space-group type	P-31c, No. 163

A plane-wave DFT calculation with PBE was carried out for a relaxed FeAgHPd2 crystal.

```
FeAgHPd2
1.0
-3.925 -0.332 -0.864
0.924 -1.634 -3.569
-0.054 -3.558 1.615
Ag H Pd Fe
1 1 2 1
Direct
0.500 0.500 0.500
0.000 0.000 0.000
0.500 0.000 0.000
0.000 0.500 0.000
0.000 0.000 0.500
```

Summary:
space-group type	P4/mmm, No. 123

A plane-wave DFT calculation with PBE was carried out for a relaxed Cd2Cu2Pb crystal.

```
Cd2Cu2Pb
1.0
-0.257 5.771 -5.686
-3.528 -5.201 -5.120
-2.729 0.865 1.001
Cu Pb Cd
4 2 4
Direct
0.168 0.668 0.500
0.668 0.832 0.500
0.832 0.332 0.500
0.332 0.168 0.500
0.500 0.500 0.000
0.000 0.000 0.000
0.372 0.872 0.000
0.872 0.628 0.000
0.128 0.372 0.000
0.628 0.128 0.000
```

Summary:
offset from the most stable computed form	51	meV/atom
ΔH_f (0 K)	0.1802	eV per atom
space-group type	P4/mbm, No. 127

A plane-wave DFT calculation with PBE was carried out for a relaxed Tl4Hg5Se crystal.

```
Tl4Hg5Se
1.0
-3.288 1.182 2.992
-1.404 -7.405 1.383
8.048 2.920 4.155
Tl Se Hg
4 1 5
Direct
0.323 0.917 0.647
0.677 0.083 0.353
0.075 0.286 0.149
0.925 0.714 0.851
0.500 0.000 0.000
0.716 0.596 0.432
0.879 0.239 0.757
0.500 0.500 0.000
0.121 0.761 0.243
0.284 0.404 0.568
```

Summary:
space-group type	C2/m, No. 12

no.,energy (eV per atom)
1,-3.90
2,-6.88
3,-7.71
4,-9.29
5,-3.03
6,-3.31
7,-4.48
8,-3.05
9,-7.34
10,-4.96
11,-2.57
12,-1.54